Model w:
# Al2AgAu4 PBE optimized geometry
# Crystal system: orthorhombic
# Spin magnetization (μB/cell): 0.000
# Mass density (g/cm3): 12.86
data_Al2AgAu4
_chemical_formula_sum 'Al8 Ag4 Au16'
_space_group_name_H-M_alt 'P 1'
_space_group_IT_number 1
_cell_length_a 4.5641
_cell_length_b 7.5608
_cell_length_c 14.2107
_cell_angle_alpha 90.00
_cell_angle_beta 90.00
_cell_angle_gamma 90.00
loop_
_space_group_symop_operation_xyz
'x,y,z'
loop_
_atom_site_label
_atom_site_type_symbol
_atom_site_fract_x
_atom_site_fract_y
_atom_site_fract_z
Au1 Au 0.2500 0.3867 0.6562
Au2 Au 0.7500 0.6133 0.3438
Au3 Au 0.7500 0.8867 0.8438
Au4 Au 0.2500 0.1133 0.1562
Au5 Au 0.2500 0.7592 0.6908
Au6 Au 0.7500 0.2408 0.3092
Au7 Au 0.7500 0.2592 0.8092
Au8 Au 0.2500 0.7408 0.1908
Au9 Au 0.2500 0.0802 0.5488
Au10 Au 0.7500 0.9198 0.4512
Au11 Au 0.7500 0.5802 0.9512
Au12 Au 0.2500 0.4198 0.0488
Au13 Au 0.2500 0.4110 0.4416
Au14 Au 0.7500 0.5890 0.5584
Au15 Au 0.7500 0.9110 0.0584
Au16 Au 0.2500 0.0890 0.9416
Al1 Al 0.2500 0.7437 0.4937
Al2 Al 0.7500 0.2563 0.5063
Al3 Al 0.7500 0.2437 0.0063
Al4 Al 0.2500 0.7563 0.9937
Al5 Al 0.2500 0.0880 0.7559
Al6 Al 0.7500 0.9120 0.2441
Al7 Al 0.7500 0.5880 0.7441
Al8 Al 0.2500 0.4120 0.2559
Ag1 Ag 0.7500 0.9841 0.6550
Ag2 Ag 0.2500 0.0159 0.3450
Ag3 Ag 0.2500 0.4841 0.8450
Ag4 Ag 0.7500 0.5159 0.1550

Model x:
# Al2AgAu4 PBE optimized geometry
# Crystal system: monoclinic
# Spin magnetization (μB/cell): 0.000
# Mass density (g/cm3): 11.76
data_Al2AgAu4
_chemical_formula_sum 'Al4 Ag2 Au8'
_space_group_name_H-M_alt 'P 1'
_space_group_IT_number 1
_cell_length_a 6.4296
_cell_length_b 6.4299
_cell_length_c 7.7774
_cell_angle_alpha 110.43
_cell_angle_beta 106.02
_cell_angle_gamma 104.11
loop_
_space_group_symop_operation_xyz
'x,y,z'
loop_
_atom_site_label
_atom_site_type_symbol
_atom_site_fract_x
_atom_site_fract_y
_atom_site_fract_z
Al1 Al 0.6247 0.3751 0.7494
Al2 Al 0.6257 0.8753 0.2506
Al3 Al 0.6249 0.3752 0.2504
Al4 Al 0.1248 0.3744 0.7496
Ag1 Ag 0.2595 0.7595 0.5000
Ag2 Ag 0.9905 0.9905 0.0000
Au1 Au 0.9912 0.2597 0.3661
Au2 Au 0.2590 0.4908 0.1335
Au3 Au 0.8935 0.6251 0.6338
Au4 Au 0.7518 0.0094 0.6388
Au5 Au 0.3705 0.1129 0.3612
Au6 Au 0.3573 0.1255 0.8665
Au7 Au 0.4978 0.7407 0.8618
Au8 Au 0.8789 0.6360 0.1382

Least stable: model x

Model w:
# AlAg3Au3 PBE optimized geometry
# Crystal system: cubic
# Spin magnetization (μB/cell): 0.000
# Mass density (g/cm3): 12.26
data_AlAg3Au3
_chemical_formula_sum 'Al4 Ag12 Au12'
_space_group_name_H-M_alt 'P 1'
_space_group_IT_number 1
_cell_length_a 7.9908
_cell_length_b 7.9908
_cell_length_c 7.9908
_cell_angle_alpha 90.00
_cell_angle_beta 90.00
_cell_angle_gamma 90.00
loop_
_space_group_symop_operation_xyz
'x,y,z'
loop_
_atom_site_label
_atom_site_type_symbol
_atom_site_fract_x
_atom_site_fract_y
_atom_site_fract_z
Al1 Al 0.1327 0.6327 0.8673
Al2 Al 0.8673 0.1327 0.6327
Al3 Al 0.3673 0.3673 0.3673
Al4 Al 0.6327 0.8673 0.1327
Ag1 Ag 0.8487 0.3487 0.1513
Ag2 Ag 0.9719 0.9719 0.9719
Ag3 Ag 0.8259 0.6741 0.3259
Ag4 Ag 0.1513 0.8487 0.3487
Ag5 Ag 0.1741 0.1741 0.1741
Ag6 Ag 0.3259 0.8259 0.6741
Ag7 Ag 0.0281 0.4719 0.5281
Ag8 Ag 0.3487 0.1513 0.8487
Ag9 Ag 0.6741 0.3259 0.8259
Ag10 Ag 0.6513 0.6513 0.6513
Ag11 Ag 0.5281 0.0281 0.4719
Ag12 Ag 0.4719 0.5281 0.0281
Au1 Au 0.8161 0.6459 0.9635
Au2 Au 0.8541 0.0365 0.3161
Au3 Au 0.9635 0.8161 0.6459
Au4 Au 0.1459 0.5365 0.1839
Au5 Au 0.1839 0.1459 0.5365
Au6 Au 0.3161 0.8541 0.0365
Au7 Au 0.0365 0.3161 0.8541
Au8 Au 0.3541 0.4635 0.6839
Au9 Au 0.5365 0.1839 0.1459
Au10 Au 0.6459 0.9635 0.8161
Au11 Au 0.6839 0.3541 0.4635
Au12 Au 0.4635 0.6839 0.3541

Model x:
# AlAg3Au3 PBE optimized geometry
# Crystal system: monoclinic
# Spin magnetization (μB/cell): 0.000
# Mass density (g/cm3): 11.53
data_AlAg3Au3
_chemical_formula_sum 'Al2 Ag6 Au6'
_space_group_name_H-M_alt 'P 1'
_space_group_IT_number 1
_cell_length_a 6.8783
_cell_length_b 6.8783
_cell_length_c 6.9368
_cell_angle_alpha 100.04
_cell_angle_beta 100.04
_cell_angle_gamma 118.49
loop_
_space_group_symop_operation_xyz
'x,y,z'
loop_
_atom_site_label
_atom_site_type_symbol
_atom_site_fract_x
_atom_site_fract_y
_atom_site_fract_z
Al1 Al 0.9215 0.9215 0.7827
Al2 Al 0.0785 0.0785 0.2173
Ag1 Ag 0.6249 0.6249 0.3712
Ag2 Ag 0.1250 0.8750 0.5000
Ag3 Ag 0.8750 0.1250 0.5000
Ag4 Ag 0.2853 0.7147 0.0000
Ag5 Ag 0.7147 0.2853 0.0000
Ag6 Ag 0.3751 0.3751 0.6288
Au1 Au 0.7083 0.7083 0.0094
Au2 Au 0.8660 0.5130 0.6835
Au3 Au 0.5130 0.8660 0.6835
Au4 Au 0.1340 0.4870 0.3165
Au5 Au 0.4870 0.1340 0.3165
Au6 Au 0.2917 0.2917 0.9906

Least stable: model x

Model w:
# AlAg4Au PBE optimized geometry
# Crystal system: cubic
# Spin magnetization (μB/cell): 0.000
# Mass density (g/cm3): 9.47
data_AlAg4Au
_chemical_formula_sum 'Al1 Ag4 Au1'
_space_group_name_H-M_alt 'P 1'
_space_group_IT_number 1
_cell_length_a 5.4571
_cell_length_b 5.4571
_cell_length_c 5.4571
_cell_angle_alpha 60.00
_cell_angle_beta 60.00
_cell_angle_gamma 60.00
loop_
_space_group_symop_operation_xyz
'x,y,z'
loop_
_atom_site_label
_atom_site_type_symbol
_atom_site_fract_x
_atom_site_fract_y
_atom_site_fract_z
Al1 Al 0.2500 0.2500 0.2500
Ag1 Ag 0.6249 0.6249 0.1252
Ag2 Ag 0.6249 0.1252 0.6249
Ag3 Ag 0.6249 0.6249 0.6249
Ag4 Ag 0.1252 0.6249 0.6249
Au1 Au 0.0000 0.0000 0.0000

Model x:
# AlAg4Au PBE optimized geometry
# Crystal system: orthorhombic
# Spin magnetization (μB/cell): 0.000
# Mass density (g/cm3): 10.38
data_AlAg4Au
_chemical_formula_sum 'Al2 Ag8 Au2'
_space_group_name_H-M_alt 'P 1'
_space_group_IT_number 1
_cell_length_a 13.3170
_cell_length_b 3.6161
_cell_length_c 4.3560
_cell_angle_alpha 90.00
_cell_angle_beta 90.00
_cell_angle_gamma 90.00
loop_
_space_group_symop_operation_xyz
'x,y,z'
loop_
_atom_site_label
_atom_site_type_symbol
_atom_site_fract_x
_atom_site_fract_y
_atom_site_fract_z
Al1 Al 0.5000 0.0000 0.5000
Al2 Al 0.0000 0.5000 0.5000
Ag1 Ag 0.8323 0.4999 0.0000
Ag2 Ag 0.6677 0.9999 0.0000
Ag3 Ag 0.3382 0.5004 0.5000
Ag4 Ag 0.1618 0.0004 0.5000
Ag5 Ag 0.1677 0.5001 0.0000
Ag6 Ag 0.3323 0.0001 0.0000
Ag7 Ag 0.6618 0.4996 0.5000
Ag8 Ag 0.8382 0.9996 0.5000
Au1 Au 0.0000 0.0000 0.0000
Au2 Au 0.5000 0.5000 0.0000

Least stable: model w

Model w:
# AlAg2Au2 PBE optimized geometry
# Crystal system: monoclinic
# Spin magnetization (μB/cell): 0.000
# Mass density (g/cm3): 12.17
data_AlAg2Au2
_chemical_formula_sum 'Al2 Ag4 Au4'
_space_group_name_H-M_alt 'P 1'
_space_group_IT_number 1
_cell_length_a 5.2344
_cell_length_b 5.5335
_cell_length_c 7.4778
_cell_angle_alpha 111.41
_cell_angle_beta 90.00
_cell_angle_gamma 118.23
loop_
_space_group_symop_operation_xyz
'x,y,z'
loop_
_atom_site_label
_atom_site_type_symbol
_atom_site_fract_x
_atom_site_fract_y
_atom_site_fract_z
Al1 Al 0.6480 0.0000 0.7500
Al2 Al 0.3520 0.0000 0.2500
Ag1 Ag 0.7525 0.7968 0.0491
Ag2 Ag 0.9557 0.2032 0.4509
Ag3 Ag 0.2475 0.2032 0.9509
Ag4 Ag 0.0443 0.7968 0.5491
Au1 Au 0.5456 0.3769 0.6406
Au2 Au 0.1686 0.6231 0.8594
Au3 Au 0.4544 0.6231 0.3594
Au4 Au 0.8314 0.3769 0.1406

Model x:
# AlAg2Au2 PBE optimized geometry
# Crystal system: tetragonal
# Spin magnetization (μB/cell): 0.000
# Mass density (g/cm3): 10.66
data_AlAg2Au2
_chemical_formula_sum 'Al1 Ag2 Au2'
_space_group_name_H-M_alt 'P 1'
_space_group_IT_number 1
_cell_length_a 7.5650
_cell_length_b 7.5650
_cell_length_c 7.5650
_cell_angle_alpha 151.37
_cell_angle_beta 151.37
_cell_angle_gamma 40.94
loop_
_space_group_symop_operation_xyz
'x,y,z'
loop_
_atom_site_label
_atom_site_type_symbol
_atom_site_fract_x
_atom_site_fract_y
_atom_site_fract_z
Al1 Al 0.0000 0.0000 0.0000
Ag1 Ag 0.2500 0.7500 0.5000
Ag2 Ag 0.7500 0.2500 0.5000
Au1 Au 0.5942 0.5942 0.0000
Au2 Au 0.4058 0.4058 0.0000

Least stable: model x

Model w:
# Al2Ag5Au5 PBE optimized geometry
# Crystal system: triclinic
# Spin magnetization (μB/cell): 0.000
# Mass density (g/cm3): 12.06
data_Al2Ag5Au5
_chemical_formula_sum 'Al2 Ag5 Au5'
_space_group_name_H-M_alt 'P 1'
_space_group_IT_number 1
_cell_length_a 4.6097
_cell_length_b 5.4253
_cell_length_c 9.9470
_cell_angle_alpha 79.55
_cell_angle_beta 76.62
_cell_angle_gamma 64.42
loop_
_space_group_symop_operation_xyz
'x,y,z'
loop_
_atom_site_label
_atom_site_type_symbol
_atom_site_fract_x
_atom_site_fract_y
_atom_site_fract_z
Al1 Al 0.8843 0.5424 0.6873
Al2 Al 0.1157 0.4576 0.3127
Ag1 Ag 0.5000 0.5000 0.5000
Ag2 Ag 0.3147 0.3390 0.0323
Ag3 Ag 0.4316 0.8955 0.2468
Ag4 Ag 0.5684 0.1045 0.7532
Ag5 Ag 0.6853 0.6610 0.9677
Au1 Au 0.8391 0.8752 0.4490
Au2 Au 0.2660 0.6902 0.7741
Au3 Au 0.7340 0.3098 0.2259
Au4 Au 0.1609 0.1248 0.5510
Au5 Au 0.0000 0.0000 0.0000

Model x:
# Al2Ag5Au5 PBE optimized geometry
# Crystal system: monoclinic
# Spin magnetization (μB/cell): 0.000
# Mass density (g/cm3): 12.43
data_Al2Ag5Au5
_chemical_formula_sum 'Al2 Ag5 Au5'
_space_group_name_H-M_alt 'P 1'
_space_group_IT_number 1
_cell_length_a 4.4569
_cell_length_b 7.8268
_cell_length_c 8.3684
_cell_angle_alpha 129.06
_cell_angle_beta 90.00
_cell_angle_gamma 106.54
loop_
_space_group_symop_operation_xyz
'x,y,z'
loop_
_atom_site_label
_atom_site_type_symbol
_atom_site_fract_x
_atom_site_fract_y
_atom_site_fract_z
Al1 Al 0.1584 0.3168 0.8035
Al2 Al 0.8416 0.6832 0.1965
Ag1 Ag 0.5000 0.0000 0.5000
Ag2 Ag 0.5905 0.1811 0.9226
Ag3 Ag 0.6734 0.3469 0.3481
Ag4 Ag 0.3266 0.6531 0.6519
Ag5 Ag 0.4095 0.8189 0.0774
Au1 Au 0.0729 0.1458 0.4049
Au2 Au 0.7530 0.5059 0.7949
Au3 Au 0.2470 0.4941 0.2051
Au4 Au 0.9271 0.8542 0.5951
Au5 Au 0.0000 0.0000 0.0000

Least stable: model w